Here is crystalline CoSbTe2O at its relaxed geometry from Alexandria. Energies are from PBE with a Hubbard U.

Output
- Space-group type: P4/mmm (123)
- Energy above the most stable polymorph in this dataset: 0.442 eV/atom
- Fermi-level density of states: 7.48 states/eV/f.u.
- Total moment: 1.6 μB per formula unit
- Crystal system: tetragonal

Cell lengths 4.938, 4.938, 4.938 Å; angles 90.00, 90.00, 90.00 degrees
Fractional coordinates of all 5 atoms:
Te 0.500 0.000 0.000
Sb 0.000 0.000 0.500
Te 0.000 0.500 0.000
Co 0.000 0.000 0.000
O 0.500 0.500 0.500

Here is crystalline CoSb2TeO at its relaxed geometry from Alexandria. Energies are from PBE with a Hubbard U.

Output
- Space-group type: P4/mmm (123)
- Energy above the most stable polymorph in this dataset: 0.000 eV/atom
- Fermi-level density of states: 2.49 states/eV/f.u.
- Total moment: 2.5 μB per formula unit
- Crystal system: tetragonal

Cell lengths 4.693, 4.693, 4.932 Å; angles 90.00, 90.00, 90.00 degrees
Fractional coordinates of all 5 atoms:
Co 0.500 0.500 0.500
Sb 0.000 0.500 0.000
Sb 0.500 0.000 0.000
O 0.000 0.000 0.000
Te 0.000 0.000 0.500

Here is crystalline CoSb2TeO at its relaxed geometry from Alexandria. Energies are from PBE with a Hubbard U.

Output
- Space-group type: P4/mmm (123)
- Energy above the most stable polymorph in this dataset: 0.387 eV/atom
- Fermi-level density of states: 2.84 states/eV/f.u.
- Total moment: 2.9 μB per formula unit
- Crystal system: tetragonal

Cell lengths 4.879, 4.879, 5.025 Å; angles 90.00, 90.00, 90.00 degrees
Fractional coordinates of all 5 atoms:
Sb 0.500 0.000 0.000
Sb 0.000 0.500 0.000
Co 0.000 0.000 0.000
O 0.500 0.500 0.500
Te 0.000 0.000 0.500

Here is crystalline CoSbTe2O at its relaxed geometry from Alexandria. Energies are from PBE with a Hubbard U.

Output
- Space-group type: P4/mmm (123)
- Energy above the most stable polymorph in this dataset: 0.000 eV/atom
- Fermi-level density of states: 3.24 states/eV/f.u.
- Total moment: 2.5 μB per formula unit
- Crystal system: tetragonal

Cell lengths 4.850, 4.850, 4.704 Å; angles 90.00, 90.00, 90.00 degrees
Fractional coordinates of all 5 atoms:
Te 0.000 0.500 0.000
Co 0.500 0.500 0.500
O 0.000 0.000 0.000
Sb 0.000 0.000 0.500
Te 0.500 0.000 0.000